1.
This record from Alexandria via LeMat-Bulk describes Ca6AuN after structural relaxation. The functional is PBE.

Structure (CIF):
```
data_Ca6AuN
_chemical_formula_sum 'Ca6 Au1 N1'
_space_group_name_H-M_alt 'P 1'
_space_group_IT_number 1
_cell_length_a 6.6709
_cell_length_b 6.6709
_cell_length_c 6.6240
_cell_angle_alpha 98.05
_cell_angle_beta 98.05
_cell_angle_gamma 117.16
loop_
_space_group_symop_operation_xyz
'x,y,z'
loop_
_atom_site_label
_atom_site_fract_x
_atom_site_fract_y
_atom_site_fract_z
_atom_site_occupancy
Ca1 0.0344 0.3420 0.2375 1
Ca2 0.2506 0.2506 0.8030 1
Ca3 0.3420 0.0344 0.2375 1
Ca4 0.6580 0.9656 0.7625 1
Ca5 0.7494 0.7494 0.1970 1
Ca6 0.9656 0.6580 0.7625 1
Au1 0.5000 0.5000 0.5000 1
N1 0.0000 0.0000 0.0000 1
```

Results
formation energy (no corrections)	-3.63	eV/f.u.
E	-0.250	Ry/atom

2.
This record from Alexandria via LeMat-Bulk describes Ca6Au3N after structural relaxation. The functional is PBE.

Structure (CIF):
```
data_Ca6Au3N
_chemical_formula_sum 'Ca12 Au6 N2'
_space_group_name_H-M_alt 'P 1'
_space_group_IT_number 1
_cell_length_a 6.9330
_cell_length_b 7.6286
_cell_length_c 11.8832
_cell_angle_alpha 90.00
_cell_angle_beta 122.47
_cell_angle_gamma 90.00
loop_
_space_group_symop_operation_xyz
'x,y,z'
loop_
_atom_site_label
_atom_site_fract_x
_atom_site_fract_y
_atom_site_fract_z
_atom_site_occupancy
Ca1 0.0996 0.0373 0.2275 1
Ca2 0.0996 0.4627 0.7275 1
Ca3 0.2123 0.7132 0.0615 1
Ca4 0.2123 0.7868 0.5615 1
Ca5 0.3470 0.1628 0.0527 1
Ca6 0.3470 0.3372 0.5527 1
Ca7 0.6530 0.6629 0.4473 1
Ca8 0.6530 0.8372 0.9473 1
Ca9 0.7877 0.2132 0.4385 1
Ca10 0.7877 0.2868 0.9385 1
Ca11 0.9004 0.5373 0.2725 1
Ca12 0.9004 0.9627 0.7725 1
Au1 0.2987 0.0970 0.7564 1
Au2 0.2987 0.4030 0.2564 1
Au3 0.5000 0.0000 0.5000 1
Au4 0.5000 0.5000 0.0000 1
Au5 0.7013 0.5970 0.7436 1
Au6 0.7013 0.9030 0.2436 1
N1 0.0000 0.0000 0.0000 1
N2 0.0000 0.5000 0.5000 1
```

Results
formation energy (no corrections)	-7.08	eV/f.u.
E	-0.274	Ry/atom

3.
This record from Alexandria via LeMat-Bulk describes CaAu2N after structural relaxation. The functional is PBE.

Structure (CIF):
```
data_CaAu2N
_chemical_formula_sum 'Ca2 Au4 N2'
_space_group_name_H-M_alt 'P 1'
_space_group_IT_number 1
_cell_length_a 7.2839
_cell_length_b 7.2839
_cell_length_c 7.2839
_cell_angle_alpha 135.90
_cell_angle_beta 135.90
_cell_angle_gamma 64.13
loop_
_space_group_symop_operation_xyz
'x,y,z'
loop_
_atom_site_label
_atom_site_fract_x
_atom_site_fract_y
_atom_site_fract_z
_atom_site_occupancy
Ca1 0.0000 0.0000 0.0000 1
Ca2 0.7500 0.2500 0.5000 1
Au1 0.3187 0.6250 0.1937 1
Au2 0.3750 0.5687 0.6937 1
Au3 0.4313 0.1250 0.8063 1
Au4 0.8750 0.6813 0.3063 1
N1 0.2500 0.7500 0.5000 1
N2 0.5000 0.5000 0.0000 1
```

Results
formation energy (no corrections)	1.08	eV/f.u.
E	-0.290	Ry/atom

4.
This record from Alexandria via LeMat-Bulk describes Ca8AuN2 after structural relaxation. The functional is PBE.

Structure (CIF):
```
data_Ca8AuN2
_chemical_formula_sum 'Ca8 Au1 N2'
_space_group_name_H-M_alt 'P 1'
_space_group_IT_number 1
_cell_length_a 7.7113
_cell_length_b 7.7113
_cell_length_c 7.1329
_cell_angle_alpha 94.83
_cell_angle_beta 94.83
_cell_angle_gamma 63.02
loop_
_space_group_symop_operation_xyz
'x,y,z'
loop_
_atom_site_label
_atom_site_fract_x
_atom_site_fract_y
_atom_site_fract_z
_atom_site_occupancy
Ca1 0.1310 0.1310 0.2897 1
Ca2 0.1482 0.5854 0.2048 1
Ca3 0.3575 0.3575 0.6422 1
Ca4 0.4146 0.8518 0.7952 1
Ca5 0.5854 0.1482 0.2048 1
Ca6 0.6425 0.6425 0.3578 1
Ca7 0.8518 0.4146 0.7952 1
Ca8 0.8690 0.8690 0.7103 1
Au1 0.5000 0.5000 0.0000 1
N1 0.2987 0.2987 0.3396 1
N2 0.7013 0.7013 0.6604 1
```

Results
formation energy (no corrections)	-4.83	eV/f.u.
E	-0.272	Ry/atom

5.
This record from Alexandria via LeMat-Bulk describes Ca4Au2N after structural relaxation. The functional is PBE.

Structure (CIF):
```
data_Ca4Au2N
_chemical_formula_sum 'Ca4 Au2 N1'
_space_group_name_H-M_alt 'P 1'
_space_group_IT_number 1
_cell_length_a 8.3411
_cell_length_b 8.3411
_cell_length_c 8.3411
_cell_angle_alpha 146.75
_cell_angle_beta 146.75
_cell_angle_gamma 47.74
loop_
_space_group_symop_operation_xyz
'x,y,z'
loop_
_atom_site_label
_atom_site_fract_x
_atom_site_fract_y
_atom_site_fract_z
_atom_site_occupancy
Ca1 0.0000 0.5000 0.5000 1
Ca2 0.1622 0.1622 0.0000 1
Ca3 0.5000 0.0000 0.5000 1
Ca4 0.8378 0.8378 0.0000 1
Au1 0.3618 0.3618 0.0000 1
Au2 0.6382 0.6382 0.0000 1
N1 0.0000 0.0000 0.0000 1
```

Results
formation energy (no corrections)	-5.27	eV/f.u.
energy above the lowest structure with this stoichiometry	0	meV/atom
E	-0.296	Ry/atom

6.
This record from Alexandria via LeMat-Bulk describes CaAuN2 after structural relaxation. The functional is PBE.

Structure (CIF):
```
data_CaAuN2
_chemical_formula_sum 'Ca1 Au1 N2'
_space_group_name_H-M_alt 'P 1'
_space_group_IT_number 1
_cell_length_a 6.2250
_cell_length_b 6.2250
_cell_length_c 6.2250
_cell_angle_alpha 36.38
_cell_angle_beta 36.38
_cell_angle_gamma 36.38
loop_
_space_group_symop_operation_xyz
'x,y,z'
loop_
_atom_site_label
_atom_site_fract_x
_atom_site_fract_y
_atom_site_fract_z
_atom_site_occupancy
Ca1 0.0000 0.0000 0.0000 1
Au1 0.5000 0.5000 0.5000 1
N1 0.3927 0.3927 0.3927 1
N2 0.6073 0.6073 0.6073 1
```

Results
formation energy (no corrections)	2.02	eV/f.u.
energy above the lowest structure with this stoichiometry	0	meV/atom
E	-0.366	Ry/atom

7.
This record from Alexandria via LeMat-Bulk describes CaAu3N after structural relaxation. The functional is PBE.

Structure (CIF):
```
data_CaAu3N
_chemical_formula_sum 'Ca1 Au3 N1'
_space_group_name_H-M_alt 'P 1'
_space_group_IT_number 1
_cell_length_a 5.6609
_cell_length_b 5.6609
_cell_length_c 5.6609
_cell_angle_alpha 90.00
_cell_angle_beta 90.00
_cell_angle_gamma 90.00
loop_
_space_group_symop_operation_xyz
'x,y,z'
loop_
_atom_site_label
_atom_site_fract_x
_atom_site_fract_y
_atom_site_fract_z
_atom_site_occupancy
Ca1 0.0000 0.0000 0.0000 1
Au1 0.0000 0.0000 0.5000 1
Au2 0.0000 0.5000 0.0000 1
Au3 0.5000 0.0000 0.0000 1
N1 0.5000 0.5000 0.5000 1
```

Results
formation energy (no corrections)	7.60	eV/f.u.
energy above the lowest structure with this stoichiometry	1276	meV/atom
E	-0.185	Ry/atom

8.
This record from Alexandria via LeMat-Bulk describes Ca5Au2N after structural relaxation. The functional is PBE.

Structure (CIF):
```
data_Ca5Au2N
_chemical_formula_sum 'Ca10 Au4 N2'
_space_group_name_H-M_alt 'P 1'
_space_group_IT_number 1
_cell_length_a 6.6008
_cell_length_b 6.6008
_cell_length_c 14.6881
_cell_angle_alpha 90.00
_cell_angle_beta 90.00
_cell_angle_gamma 135.33
loop_
_space_group_symop_operation_xyz
'x,y,z'
loop_
_atom_site_label
_atom_site_fract_x
_atom_site_fract_y
_atom_site_fract_z
_atom_site_occupancy
Ca1 0.1159 0.8841 0.6286 1
Ca2 0.1159 0.8841 0.8714 1
Ca3 0.2509 0.7491 0.2500 1
Ca4 0.3831 0.6169 0.6289 1
Ca5 0.3831 0.6169 0.8711 1
Ca6 0.6169 0.3831 0.1289 1
Ca7 0.6169 0.3831 0.3711 1
Ca8 0.7491 0.2509 0.7500 1
Ca9 0.8841 0.1159 0.1286 1
Ca10 0.8841 0.1159 0.3714 1
Au1 0.2500 0.7500 0.0487 1
Au2 0.2500 0.7500 0.4513 1
Au3 0.7500 0.2500 0.5487 1
Au4 0.7500 0.2500 0.9513 1
N1 0.2493 0.7507 0.7500 1
N2 0.7507 0.2493 0.2500 1
```

Results
formation energy (no corrections)	-4.90	eV/f.u.
E	-0.274	Ry/atom